This record from the Alexandria database describes crystalline CaGe6 at its relaxed geometry. The functional is PBE.

a = 6.1530 Å, b = 6.1530 Å, c = 6.1530 Å
α = 109.47°, β = 109.47°, γ = 109.47°
Last column: nearest neighbours and their distance in Å.
Fractional positions:
Ca 0.0000 0.0000 0.0000  24 Ge 3.97
Ge 0.2500 0.5000 0.7500  4 Ge 2.51
Ge 0.2500 0.7500 0.5000  4 Ge 2.51
Ge 0.5000 0.2500 0.7500  4 Ge 2.51
Ge 0.5000 0.7500 0.2500  4 Ge 2.51
Ge 0.7500 0.2500 0.5000  4 Ge 2.51
Ge 0.7500 0.5000 0.2500  4 Ge 2.51

Results
Electronic total energy, eV per atom: -4.1710
Energy of formation, eV/atom: 0.0727
Total magnetic moment, μB per cell: 0.0